[1]
## DyURh2 (PBE)

Data for DyURh2 after structural relaxation.

The calculation puts the density of states at the Fermi level at 3.443 states/eV/cell. The value obtained for the total magnetization is 0.465 μB per atom. As for the final energy: -33.000 eV per cell. For the formation energy, the calculation gives -0.602 eV per atom.

The structure belongs to space group P4/mmm (No. 123); the cell edges are 3.3868, 3.3868 and 7.0122 Å and the angles 90.00°, 90.00° and 90.00°. Symmetry generates all atoms from Dy at (0.0000, 0.0000, 0.0000), U at (0.0000, 0.0000, 0.5000) and Rh at (0.5000, 0.5000, 0.2682).


[2]
## DyVRh2 (PBE)

Data for DyVRh2 after structural relaxation.

The calculation puts the density of states at the Fermi level at 25.107 states/eV/cell. The value obtained for the total magnetization is 0.562 μB per atom. The energy above the most stable polymorph in this dataset is 0.0942 eV per atom. As for the final energy: -119.762 eV per cell. For the formation energy, the calculation gives -0.379 eV per atom.

The structure belongs to space group Fm-3m (No. 225); the cell edges are 6.4946, 6.4946 and 6.4946 Å and the angles 90.00°, 90.00° and 90.00°. Symmetry generates all atoms from Dy at (0.0000, 0.0000, 0.0000), V at (0.0000, 0.0000, 0.5000) and Rh at (0.2500, 0.2500, 0.2500).


[3]
## DyVRh2 (PBE)

Data for DyVRh2 after structural relaxation.

The calculation puts the density of states at the Fermi level at 14.545 states/eV/cell. The value obtained for the total magnetization is 0.001 μB per atom. The energy above the most stable polymorph in this dataset is 0.0626 eV per atom. As for the final energy: -90.202 eV per cell. For the formation energy, the calculation gives -0.411 eV per atom.

The structure belongs to space group R-3m (No. 166, hexagonal axes); the cell edges are 4.2037, 4.2037 and 14.4415 Å and the angles 90.00°, 90.00° and 120.00°. Symmetry generates all atoms from Dy at (0.0000, 0.0000, 0.0000), V at (0.0000, 0.0000, 0.5000) and Rh at (0.0000, 0.0000, 0.2148).